No. 1
## Ba2NbBiSe (PBEsol)

Data for an optimized crystal structure of Ba2NbBiSe.

Properties
Volume: 235.4 Å³ per cell
Formation energy from raw total energies: 3.805 eV per formula unit
Space-group type: P4/mmm
Total moment: 4.69 μB/f.u.
Uncorrected energy: -19.45 eV for the cell shown

Lattice parameters (Å, degrees): 6.573 6.573 5.448 90.00 90.00 90.00
Atoms (fractional coordinates):
Ba: 0.000 0.500 0.000
Ba: 0.500 0.000 0.000
Nb: 0.000 0.000 0.500
Bi: 0.500 0.500 0.000
Se: 0.500 0.500 0.500

---

No. 2
## Ba5Bi5O13 (PBEsol)

Data for an optimized crystal structure of Ba5Bi5O13.

Properties
Volume: 822.2 Å³ per cell
Formation energy from raw total energies: -42.863 eV per formula unit
Space-group type: C2
Total moment: 0.00 μB/f.u.
Uncorrected energy: -286.55 eV for the cell shown

Lattice parameters (Å, degrees): 6.283 6.283 25.186 99.34 99.34 57.30
Atoms (fractional coordinates):
Ba: 0.008 0.697 0.547
Ba: 0.067 0.067 0.149
Ba: 0.302 0.402 0.048
Ba: 0.303 0.992 0.453
Ba: 0.306 0.198 0.749
Ba: 0.538 0.325 0.352
Ba: 0.598 0.698 0.952
Ba: 0.675 0.462 0.648
Ba: 0.802 0.694 0.251
Ba: 0.933 0.933 0.851
Bi: 0.157 0.040 0.302
Bi: 0.259 0.311 0.896
Bi: 0.354 0.079 0.604
Bi: 0.432 0.380 0.200
Bi: 0.620 0.568 0.800
Bi: 0.654 0.346 0.500
Bi: 0.689 0.741 0.104
Bi: 0.921 0.646 0.396
Bi: 0.952 0.048 0.000
Bi: 0.960 0.843 0.698
O: 0.052 0.178 0.934
O: 0.056 0.226 0.543
O: 0.061 0.833 0.351
O: 0.076 0.680 0.949
O: 0.078 0.486 0.145
O: 0.122 0.454 0.653
O: 0.167 0.939 0.649
O: 0.196 0.764 0.235
O: 0.236 0.804 0.765
O: 0.280 0.475 0.453
O: 0.289 0.219 0.251
O: 0.320 0.924 0.051
O: 0.441 0.445 0.850
O: 0.514 0.922 0.855
O: 0.525 0.720 0.547
O: 0.546 0.878 0.347
O: 0.549 0.181 0.959
O: 0.555 0.559 0.150
O: 0.557 0.212 0.566
O: 0.685 0.249 0.734
O: 0.751 0.315 0.266
O: 0.774 0.944 0.457
O: 0.781 0.711 0.749
O: 0.788 0.443 0.434
O: 0.819 0.451 0.041
O: 0.822 0.948 0.066

---

No. 3
## Ba8Bi4O17 (PBEsol)

Data for an optimized crystal structure of Ba8Bi4O17.

Properties
Volume: 530.3 Å³ per cell
Formation energy from raw total energies: -57.688 eV per formula unit
Space-group type: P1
Total moment: 0.00 μB/f.u.
Uncorrected energy: -181.26 eV for the cell shown

Lattice parameters (Å, degrees): 6.281 6.327 14.009 102.55 102.24 90.44
Atoms (fractional coordinates):
Ba: 0.000 0.000 0.000
Ba: 0.088 0.620 0.171
Ba: 0.193 0.239 0.324
Ba: 0.367 0.389 0.691
Ba: 0.513 0.494 0.001
Ba: 0.651 0.736 0.323
Ba: 0.773 0.317 0.493
Ba: 0.865 0.922 0.688
Bi: 0.276 0.816 0.508
Bi: 0.430 0.947 0.842
Bi: 0.598 0.109 0.163
Bi: 0.932 0.454 0.837
O: 0.006 0.608 0.431
O: 0.078 0.063 0.559
O: 0.081 0.552 0.988
O: 0.134 0.697 0.803
O: 0.182 0.218 0.815
O: 0.334 0.940 0.189
O: 0.424 0.809 0.655
O: 0.425 0.395 0.192
O: 0.427 0.055 0.001
O: 0.436 0.022 0.445
O: 0.464 0.568 0.448
O: 0.675 0.678 0.859
O: 0.722 0.193 0.856
O: 0.755 0.820 0.124
O: 0.776 0.134 0.313
O: 0.786 0.356 0.683
O: 0.844 0.288 0.131

---

No. 4
## Ba8Bi4O17 (PBEsol)

Data for an optimized crystal structure of Ba8Bi4O17.

Properties
Volume: 522.3 Å³ per cell
Formation energy from raw total energies: -57.726 eV per formula unit
Space-group type: Cm
Total moment: 0.00 μB/f.u.
Uncorrected energy: -181.30 eV for the cell shown

Lattice parameters (Å, degrees): 10.837 10.837 6.272 105.55 105.55 47.87
Atoms (fractional coordinates):
Ba: 0.000 0.000 0.000
Ba: 0.105 0.583 0.785
Ba: 0.294 0.782 0.517
Ba: 0.367 0.367 0.299
Ba: 0.411 0.940 0.124
Ba: 0.583 0.105 0.785
Ba: 0.782 0.294 0.517
Ba: 0.940 0.411 0.124
Bi: 0.187 0.187 0.643
Bi: 0.525 0.525 0.965
Bi: 0.691 0.691 0.636
Bi: 0.851 0.851 0.286
O: 0.099 0.099 0.773
O: 0.100 0.703 0.231
O: 0.115 0.115 0.317
O: 0.254 0.254 0.974
O: 0.276 0.276 0.518
O: 0.301 0.771 0.963
O: 0.422 0.422 0.987
O: 0.435 0.946 0.641
O: 0.477 0.477 0.616
O: 0.588 0.588 0.320
O: 0.626 0.626 0.868
O: 0.703 0.100 0.231
O: 0.756 0.756 0.366
O: 0.771 0.301 0.963
O: 0.794 0.794 0.932
O: 0.905 0.905 0.628
O: 0.946 0.435 0.641

---

No. 5
## Ba3BiO (PBEsol)

Data for an optimized crystal structure of Ba3BiO.

Properties
Volume: 158.6 Å³ per cell
Formation energy from raw total energies: -7.523 eV per formula unit
Space-group type: Pm-3m
Total moment: 0.00 μB/f.u.
Uncorrected energy: -23.50 eV for the cell shown

Lattice parameters (Å, degrees): 5.413 5.413 5.413 90.00 90.00 90.00
Atoms (fractional coordinates):
Ba: 0.000 0.000 0.500
Ba: 0.000 0.500 0.000
Ba: 0.500 0.000 0.000
Bi: 0.500 0.500 0.500
O: 0.000 0.000 0.000

---

No. 6
## Ba11Bi9O30 (PBEsol)

Data for an optimized crystal structure of Ba11Bi9O30.

Properties
Volume: 838.6 Å³ per cell
Formation energy from raw total energies: -94.073 eV per formula unit
Space-group type: P-1
Total moment: 0.00 μB/f.u.
Uncorrected energy: -313.76 eV for the cell shown

Lattice parameters (Å, degrees): 8.772 10.654 10.704 80.31 66.05 66.53
Atoms (fractional coordinates):
Ba: 0.000 0.000 0.000
Ba: 0.039 0.306 0.110
Ba: 0.154 0.894 0.301
Ba: 0.248 0.502 0.501
Ba: 0.363 0.093 0.695
Ba: 0.448 0.692 0.901
Ba: 0.552 0.308 0.099
Ba: 0.637 0.907 0.305
Ba: 0.752 0.498 0.499
Ba: 0.846 0.106 0.699
Ba: 0.961 0.694 0.890
Bi: 0.098 0.596 0.205
Bi: 0.198 0.200 0.402
Bi: 0.306 0.794 0.596
Bi: 0.394 0.397 0.802
Bi: 0.500 0.000 0.000
Bi: 0.606 0.603 0.198
Bi: 0.694 0.206 0.404
Bi: 0.802 0.800 0.598
Bi: 0.902 0.404 0.795
O: 0.011 0.201 0.845
O: 0.028 0.346 0.582
O: 0.067 0.774 0.603
O: 0.136 0.440 0.777
O: 0.184 0.845 0.801
O: 0.204 0.385 0.263
O: 0.206 0.007 0.532
O: 0.229 0.530 0.993
O: 0.295 0.939 0.022
O: 0.343 0.618 0.185
O: 0.355 0.070 0.211
O: 0.370 0.202 0.923
O: 0.403 0.583 0.658
O: 0.436 0.739 0.383
O: 0.453 0.180 0.422
O: 0.547 0.820 0.578
O: 0.564 0.261 0.617
O: 0.597 0.417 0.342
O: 0.630 0.798 0.077
O: 0.645 0.930 0.789
O: 0.657 0.382 0.815
O: 0.705 0.061 0.978
O: 0.771 0.470 0.007
O: 0.794 0.993 0.468
O: 0.796 0.615 0.737
O: 0.816 0.155 0.199
O: 0.864 0.560 0.223
O: 0.933 0.226 0.397
O: 0.972 0.654 0.418
O: 0.989 0.799 0.155

---

No. 7
## Ba4Bi3O11 (PBEsol)

Data for an optimized crystal structure of Ba4Bi3O11.

Properties
Volume: 331.6 Å³ per cell
Formation energy from raw total energies: -31.692 eV per formula unit
Space-group type: Amm2
Total moment: 0.00 μB/f.u.
Uncorrected energy: -110.89 eV for the cell shown

Lattice parameters (Å, degrees): 8.816 6.133 6.133 89.94 90.00 90.00
Atoms (fractional coordinates):
Ba: 0.243 0.229 0.771
Ba: 0.243 0.771 0.229
Ba: 0.757 0.229 0.771
Ba: 0.757 0.771 0.229
Bi: 0.000 0.263 0.263
Bi: 0.000 0.754 0.754
Bi: 0.500 0.268 0.268
O: 0.000 0.011 0.011
O: 0.000 0.018 0.517
O: 0.000 0.509 0.509
O: 0.000 0.517 0.018
O: 0.232 0.767 0.767
O: 0.250 0.257 0.257
O: 0.500 0.035 0.035
O: 0.500 0.187 0.587
O: 0.500 0.587 0.187
O: 0.750 0.257 0.257
O: 0.768 0.767 0.767

---

No. 8
## Ba4BiPb3O12 (PBEsol)

Data for an optimized crystal structure of Ba4BiPb3O12.

Properties
Volume: 319.0 Å³ per cell
Formation energy from raw total energies: -35.362 eV per formula unit
Space-group type: P2/m
Total moment: 0.00 μB/f.u.
E above lowest polymorph: 0.0 meV/atom
Uncorrected energy: -123.23 eV for the cell shown

Lattice parameters (Å, degrees): 6.134 6.066 8.574 90.00 90.04 90.00
Atoms (fractional coordinates):
Ba: 0.004 0.000 0.254
Ba: 0.494 0.500 0.254
Ba: 0.506 0.500 0.746
Ba: 0.996 0.000 0.746
Bi: 0.000 0.500 0.000
Pb: 0.000 0.500 0.500
Pb: 0.500 0.000 0.000
Pb: 0.500 0.000 0.500
O: 0.065 0.500 0.752
O: 0.247 0.251 0.036
O: 0.247 0.749 0.036
O: 0.249 0.251 0.465
O: 0.249 0.749 0.465
O: 0.436 0.000 0.750
O: 0.564 0.000 0.250
O: 0.751 0.251 0.535
O: 0.751 0.749 0.535
O: 0.753 0.251 0.964
O: 0.753 0.749 0.964
O: 0.935 0.500 0.248

---

> Look up the formation energy from raw total energies of the seventh one.

-31.692 eV per formula unit

---

> Among the records above, which one has the highest uncorrected energy?

Ba2NbBiSe